A geometry-optimized Ce4MnSi structure, computed with GGA-PBE.

Output
ΔE_f (raw) = -1.198 eV/f.u.

Lattice parameters (Å, degrees): 8.2252 12.7120 5.6382 90.00 111.93 90.00
Closest atoms and distances in Å follow each position.
Space group C2/c (No. 15)
Asymmetric unit:
Ce  0.1196  0.1845  0.0688 [8 per cell]  2 Mn 2.88-2.89, 2 Si 3.03, 1 Ce 3.04
Ce  0.1977  0.4138  0.3365 [8 per cell]  2 Mn 2.92, 2 Si 3.00-3.12, 2 Ce 3.03-3.23
Mn  0.0000  0.0006  0.7500 [4 per cell]  2 Mn 2.82, 8 Ce 2.88-2.92
Si  0.0000  0.3823  0.7500 [4 per cell]  10 Ce 3.00-3.33

***

A geometry-optimized CeMn9Si2 structure, computed with GGA-PBE.

Output
ΔE_f (raw) = -1.817 eV/f.u.

Lattice parameters (Å, degrees): 8.1701 8.1701 4.5710 90.00 90.00 90.00
Closest atoms and distances in Å follow each position.
Space group P4/mbm (No. 127)
Asymmetric unit:
Ce  0.0000  0.0000  0.0000 [2 per cell]  16 Mn 2.94-3.19, 4 Si 3.24
Mn  0.0000  0.5000  0.5000 [2 per cell]  8 Mn 2.37-2.40
Mn  0.0718  0.2157  0.5000 [8 per cell]  8 Mn 2.40-2.63, 2 Si 2.67
Mn  0.1735  0.6735  0.2250 [8 per cell]  1 Mn 2.06
Si  0.1225  0.3775  0.0000 [4 per cell]  12 Mn 2.57-2.69, 1 Si 2.83

***

A geometry-optimized Ce2MnSi3 structure, computed with GGA-PBE.

Output
ΔE_f (raw) = -3.260 eV/f.u.

Lattice parameters (Å, degrees): 5.5690 5.5690 7.7975 90.00 90.00 120.00
Closest atoms and distances in Å follow each position.
Space group P6_3/mmc (No. 194)
Asymmetric unit:
Ce  0.3333  0.6667  0.0752 [4 per cell]  1 Ce 2.73
Mn  0.0000  0.0000  0.0000 [2 per cell]  6 Si 2.44
Si  0.1515  0.3030  0.7500 [6 per cell]  2 Mn 2.44, 2 Si 2.53

***

A geometry-optimized CeMnSi2 structure, computed with GGA-PBE.

Output
ΔE_f (raw) = -2.485 eV/f.u.

Lattice parameters (Å, degrees): 4.0533 17.1884 3.9759 90.00 90.00 90.00
Closest atoms and distances in Å follow each position.
Space group Cmcm (No. 63)
Asymmetric unit:
Ce  0.0000  0.1032  0.2500 [4 per cell]  10 Si 3.06-3.13, 4 Mn 3.20-3.25
Mn  0.0000  0.2488  0.7500 [4 per cell]  4 Si 2.36-2.37
Si  0.0000  0.3230  0.2500 [4 per cell]  4 Mn 2.36-2.37, 1 Si 2.42
Si  0.0000  0.4640  0.2500 [4 per cell]  3 Si 2.34-2.42

***

A geometry-optimized CeMn2Si3 structure, computed with GGA-PBE.

Output
ΔE_f (raw) = -3.160 eV/f.u.
offset from the most stable computed form = 0.000 eV/atom

Lattice parameters (Å, degrees): 9.6077 7.4134 5.1304 90.00 90.00 90.00
Closest atoms and distances in Å follow each position.
Space group Cmcm (No. 63)
Asymmetric unit:
Ce  0.0000  0.1607  0.2500 [4 per cell]  11 Si 3.02-3.34, 4 Mn 3.37
Mn  0.2002  0.5000  0.0000 [8 per cell]  6 Si 2.33-2.45, 2 Mn 2.57
Si  0.0000  0.4325  0.7500 [4 per cell]  4 Mn 2.37, 2 Si 2.40
Si  0.1879  0.2186  0.7500 [8 per cell]  4 Mn 2.33-2.45, 1 Si 2.40

***

A geometry-optimized Ce3Mn2Si4 structure, computed with GGA-PBE.

Output
ΔE_f (raw) = -4.999 eV/f.u.

Lattice parameters (Å, degrees): 10.9229 4.1006 8.0120 90.00 107.60 90.00
Closest atoms and distances in Å follow each position.
Space group C2/m (No. 12)
Asymmetric unit:
Ce  0.0000  0.0000  0.0000 [2 per cell]  8 Si 3.03-3.31
Ce  0.1156  0.5000  0.6873 [4 per cell]  3 Mn 2.96-3.01, 7 Si 2.98-3.08, 1 Ce 3.29
Mn  0.1987  0.5000  0.3679 [4 per cell]  4 Si 2.33-2.41
Si  0.1048  0.0000  0.3966 [4 per cell]  3 Mn 2.33-2.39
Si  0.2188  0.5000  0.0765 [4 per cell]  1 Mn 2.41, 2 Si 2.58

***

A geometry-optimized CeMn2Si2Tc structure, computed with GGA-PBE.

Output
ΔE_f (raw) = 0.518 eV/f.u.

Lattice parameters (Å, degrees): 4.6488 4.6488 5.2145 90.00 90.00 90.00
Closest atoms and distances in Å follow each position.
Space group P4/mmm (No. 123)
Asymmetric unit:
Ce  0.0000  0.0000  0.0000 [1 per cell]  2 Tc 2.61
Mn  0.5000  0.5000  0.2593 [2 per cell]  2 Mn 2.51-2.70, 4 Si 2.64
Si  0.0000  0.5000  0.5000 [2 per cell]  2 Tc 2.32
Tc  0.0000  0.0000  0.5000 [1 per cell]  4 Si 2.32

***

A geometry-optimized CeMnSi3Tc structure, computed with GGA-PBE.

Output
ΔE_f (raw) = -1.910 eV/f.u.

Lattice parameters (Å, degrees): 7.3820 10.5638 5.6244 90.00 90.00 90.00
Closest atoms and distances in Å follow each position.
Space group Cmcm (No. 63)
Asymmetric unit:
Ce  0.0000  0.2404  0.2500 [4 per cell]  2 Si 2.81, 1 Mn 2.93
Mn  0.0000  0.0370  0.7500 [4 per cell]  5 Si 2.14-2.30
Si  0.0000  0.2396  0.7500 [4 per cell]  1 Mn 2.14, 1 Tc 2.25
Si  0.2415  0.0000  0.0000 [8 per cell]  2 Mn 2.30, 2 Tc 2.42
Tc  0.0000  0.4525  0.7500 [4 per cell]  5 Si 2.25-2.42

***

A geometry-optimized Ce2Th2MnSi4 structure, computed with GGA-PBE.

Output
ΔE_f (raw) = -3.472 eV/f.u.

Lattice parameters (Å, degrees): 7.0856 7.0856 7.7112 90.00 90.00 90.00
Closest atoms and distances in Å follow each position.
Space group I4/mmm (No. 139)
Asymmetric unit:
Ce  0.0000  0.0000  0.1972 [4 per cell]  1 Mn 2.34
Th  0.0000  0.5000  0.2500 [4 per cell]  8 Si 3.16
Mn  0.0000  0.0000  0.5000 [2 per cell]  2 Ce 2.34, 4 Si 2.38
Si  0.2376  0.2376  0.5000 [8 per cell]  1 Mn 2.38

***

A geometry-optimized CeSmMn4 structure, computed with GGA-PBE.

Output
formation enthalpy at 0 K = 0.97 eV/f.u.

Lattice parameters (Å, degrees): 7.3419 7.3419 7.3419 90.00 90.00 90.00
Closest atoms and distances in Å follow each position.
Space group F-43m (No. 216)
Asymmetric unit:
Ce  0.0000  0.0000  0.0000 [4 per cell]  12 Mn 3.04, 4 Sm 3.18
Sm  0.2500  0.2500  0.7500 [4 per cell]  12 Mn 3.05, 4 Ce 3.18
Mn  0.1256  0.1256  0.3744 [16 per cell]  6 Mn 2.58-2.61

***

A geometry-optimized Ce2SmMn structure, computed with GGA-PBE.

Output
formation enthalpy at 0 K = 0.82 eV/f.u.
offset from the most stable computed form = 0.005 eV/atom

Lattice parameters (Å, degrees): 3.8290 3.8290 25.4117 90.00 90.00 120.00
Closest atoms and distances in Å follow each position.
Space group R3m (No. 160, hexagonal axes)
Asymmetric unit:
Ce  0.0000  0.0000  0.0000 [3 per cell]  3 Mn 2.33
Ce  0.0000  0.0000  0.2250 [3 per cell]  3 Mn 2.98
Sm  0.0000  0.0000  0.7756 [3 per cell]  1 Mn 3.52, 6 Ce 3.54-3.69, 6 Sm 3.83
Mn  0.0000  0.0000  0.6371 [3 per cell]  3 Ce 2.33

***

A geometry-optimized Ce3SmMn structure, computed with GGA-PBE.

Output
formation enthalpy at 0 K = 0.79 eV/f.u.

Lattice parameters (Å, degrees): 5.1750 5.1750 5.1750 90.00 90.00 90.00
Closest atoms and distances in Å follow each position.
Space group Pm-3m (No. 221)
Asymmetric unit:
Ce  0.0000  0.0000  0.5000 [3 per cell]  2 Mn 2.59
Sm  0.5000  0.5000  0.5000 [1 per cell]  12 Ce 3.66
Mn  0.0000  0.0000  0.0000 [1 per cell]  6 Ce 2.59